Entry 1:
Entry from Alexandria: crystalline LiThTcSn at its relaxed geometry (PBE).

The structure in POSCAR format:
```
LiThTcSn
1.0
0.0000 3.4269 3.4269
3.4269 0.0000 3.4269
3.4269 3.4269 0.0000
Li Th Tc Sn
1 1 1 1
Cartesian
0.0000 0.0000 0.0000 Li
1.7135 1.7135 1.7135 Th
3.4269 3.4269 3.4269 Tc
5.1404 5.1404 5.1404 Sn
```

Results
V ... 80.5 Å³/cell
Symmetry ... F-43m
DFT formation energy ... -0.86 eV per formula unit
ρ ... 9.40 Mg/m³



Entry 2:
Entry from Alexandria: crystalline AcNi6Sn12 at its relaxed geometry (PBE).

The structure in POSCAR format:
```
AcNi6Sn12
1.0
6.4399 3.7181 2.9334
-6.4399 3.7181 2.9334
0.0000 -7.4362 2.9334
Ac Ni Sn
1 6 12
Cartesian
0.0000 0.0000 0.0000 Ac
-3.4015 -1.9639 5.0362 Ni
0.0000 -3.9277 3.7639 Ni
-3.4015 1.9639 3.7639 Ni
3.4015 -1.9639 5.0362 Ni
0.0000 3.9277 5.0362 Ni
3.4015 1.9639 3.7639 Ni
-2.4928 -4.3176 4.4001 Sn
-4.9856 0.0000 4.4001 Sn
-1.7881 -1.0324 3.1049 Sn
1.7881 -1.0324 3.1049 Sn
0.0000 2.0648 3.1049 Sn
2.4928 -4.3176 4.4001 Sn
-2.4928 4.3176 4.4001 Sn
0.0000 -2.0648 5.6952 Sn
-1.7881 1.0324 5.6952 Sn
1.7881 1.0324 5.6952 Sn
4.9856 0.0000 4.4001 Sn
2.4928 4.3176 4.4001 Sn
```

Results
V ... 421.4 Å³/cell
Symmetry ... R-3m
DFT formation energy ... -2.00 eV per formula unit
ρ ... 7.90 Mg/m³